[1]
PmNd2Ga: relaxed, PBE.

Lattice parameters (Å, degrees): 6.8019 6.8019 7.1526 90.00 90.00 132.95
With the nearest neighbours (Å) after each atom.
Fractional positions:
Pm  0.0612  0.9388  0.7500  1 Ga 2.97
Pm  0.9388  0.0612  0.2500  1 Ga 2.97
Nd  0.3620  0.6380  0.5264  3 Ga 3.04-3.19, 1 Nd 3.20
Nd  0.3620  0.6380  0.9736  3 Ga 3.04-3.19, 1 Nd 3.20
Nd  0.6380  0.3620  0.0264  3 Ga 3.04-3.19, 1 Nd 3.20
Nd  0.6380  0.3620  0.4736  3 Ga 3.04-3.19, 1 Nd 3.20
Ga  0.1771  0.8229  0.2500  1 Pm 2.97, 6 Nd 3.04-3.19
Ga  0.8229  0.1771  0.7500  1 Pm 2.97, 6 Nd 3.04-3.19

total moment	0.000	μB per atom
energy of formation	-0.20	eV/atom
Fermi-level density of states	1.186	states/eV per atom
SG	Cmcm, No. 63
uncorrected energy	-4.53	eV per atom


[2]
Pm3NdGa3: relaxed, PBE.

Lattice parameters (Å, degrees): 7.3664 7.3664 7.0647 90.00 90.00 90.37
With the nearest neighbours (Å) after each atom.
Fractional positions:
Pm  0.2407  0.2407  0.5000  6 Ga 3.14-3.20
Pm  0.2456  0.7544  0.0000  6 Ga 3.15-3.21
Pm  0.2493  0.7507  0.5000  6 Ga 3.13-3.14
Pm  0.7507  0.2493  0.5000  6 Ga 3.13-3.14
Pm  0.7544  0.2456  0.0000  6 Ga 3.15-3.21
Pm  0.7593  0.7593  0.5000  6 Ga 3.14-3.20
Nd  0.2489  0.2489  0.0000  6 Ga 3.17, 2 Pm 3.53
Nd  0.7511  0.7511  0.0000  6 Ga 3.17, 2 Pm 3.53
Ga  0.0000  0.5000  0.2533  6 Pm 3.13-3.15, 2 Nd 3.17, 1 Ga 3.49
Ga  0.0000  0.5000  0.7467  6 Pm 3.13-3.15, 2 Nd 3.17, 1 Ga 3.49
Ga  0.5000  0.0000  0.2533  6 Pm 3.13-3.15, 2 Nd 3.17, 1 Ga 3.49
Ga  0.5000  0.0000  0.7467  6 Pm 3.13-3.15, 2 Nd 3.17, 1 Ga 3.49
Ga  0.5000  0.5000  0.2555  6 Pm 3.14-3.21, 2 Nd 3.17, 1 Ga 3.45
Ga  0.5000  0.5000  0.7445  6 Pm 3.14-3.21, 2 Nd 3.17, 1 Ga 3.45

total moment	0.000	μB per atom
energy of formation	-0.43	eV/atom
Fermi-level density of states	0.762	states/eV per atom
SG	Cmmm, No. 65
uncorrected energy	-4.44	eV per atom